1.
Compound: PaNiSbRh
Source: Alexandria via LeMat-Bulk
Functional: PBE
Structure: relaxed

The structure in POSCAR format:
```
PaNiSbRh
1.0
0.000 3.340 3.340
3.340 0.000 3.340
3.340 3.340 0.000
Pa Ni Sb Rh
1 1 1 1
Direct
0.000 0.000 0.000
0.750 0.750 0.750
0.500 0.500 0.500
0.250 0.250 0.250
```

Computed properties:
- ρ (g cm⁻³) = 11.46
- uncorrected energy (eV/atom) = -7.177

---

2.
Compound: Pa2Si4NiRh3
Source: Alexandria via LeMat-Bulk
Functional: PBE
Structure: relaxed

The structure in POSCAR format:
```
Pa2Si4NiRh3
1.0
4.094 0.000 0.000
0.000 4.094 0.000
0.000 0.000 9.776
Pa Si Ni Rh
2 4 1 3
Direct
0.000 0.500 0.247
0.500 0.000 0.753
0.000 0.000 0.500
0.000 0.500 0.871
0.500 0.000 0.129
0.500 0.500 0.500
0.500 0.500 0.000
0.000 0.000 0.000
0.000 0.500 0.629
0.500 0.000 0.371
```

Computed properties:
- ρ (g cm⁻³) = 9.54
- uncorrected energy (eV/atom) = -7.748

---

3.
Compound: PaSi2NiRh
Source: Alexandria via LeMat-Bulk
Functional: PBE
Structure: relaxed

The structure in POSCAR format:
```
PaSi2NiRh
1.0
-1.996 1.996 4.970
1.996 -1.996 4.970
1.996 1.996 -4.970
Pa Si Ni Rh
1 2 1 1
Direct
0.000 0.000 0.000
0.382 0.382 0.000
0.618 0.618 0.000
0.750 0.250 0.500
0.250 0.750 0.500
```

Computed properties:
- ρ (g cm⁻³) = 9.41
- uncorrected energy (eV/atom) = -7.537

---

4.
Compound: PaSi2NiRh2
Source: Alexandria via LeMat-Bulk
Functional: PBE
Structure: relaxed

The structure in POSCAR format:
```
PaSi2NiRh2
1.0
4.288 0.000 0.000
0.000 4.288 0.000
0.000 0.000 5.370
Pa Si Ni Rh
1 2 1 2
Direct
0.000 0.000 0.000
0.000 0.500 0.500
0.500 0.000 0.500
0.000 0.000 0.500
0.500 0.500 0.244
0.500 0.500 0.756
```

Computed properties:
- ρ (g cm⁻³) = 9.28
- uncorrected energy (eV/atom) = -7.219

---

5.
Compound: Pa2Si3Ni4Rh
Source: Alexandria via LeMat-Bulk
Functional: PBE
Structure: relaxed

The structure in POSCAR format:
```
Pa2Si3Ni4Rh
1.0
3.821 0.000 0.000
0.000 3.821 0.000
0.000 0.000 10.376
Pa Si Ni Rh
2 3 4 1
Direct
0.000 0.500 0.247
0.500 0.000 0.753
0.000 0.000 0.000
0.000 0.500 0.620
0.500 0.000 0.380
0.000 0.000 0.500
0.000 0.500 0.839
0.500 0.000 0.161
0.500 0.500 0.500
0.500 0.500 0.000
```

Computed properties:
- ρ (g cm⁻³) = 9.69
- uncorrected energy (eV/atom) = -7.277

---

6.
Compound: TbPaNiRh
Source: Alexandria via LeMat-Bulk
Functional: PBE
Structure: relaxed

The structure in POSCAR format:
```
TbPaNiRh
1.0
0.000 3.419 3.419
3.419 0.000 3.419
3.419 3.419 0.000
Tb Pa Ni Rh
1 1 1 1
Direct
0.000 0.000 0.000
0.500 0.500 0.500
0.250 0.250 0.250
0.750 0.750 0.750
```

Computed properties:
- ρ (g cm⁻³) = 11.46
- uncorrected energy (eV/atom) = -7.250
- relative energy among the computed polymorphs (meV per atom) = 135

---

7.
Compound: TbPaNiRh
Source: Alexandria via LeMat-Bulk
Functional: PBE
Structure: relaxed

The structure in POSCAR format:
```
TbPaNiRh
1.0
4.476 0.000 0.000
0.000 1.795 5.091
0.000 -1.795 5.091
Tb Pa Ni Rh
1 1 1 1
Direct
0.000 0.000 0.000
0.500 0.725 0.725
0.000 0.269 0.269
0.500 0.443 0.443
```

Computed properties:
- ρ (g cm⁻³) = 11.20
- uncorrected energy (eV/atom) = -7.386
- relative energy among the computed polymorphs (meV per atom) = 0

---

8.
Compound: TmPaNiRh
Source: Alexandria via LeMat-Bulk
Functional: PBE
Structure: relaxed

The structure in POSCAR format:
```
TmPaNiRh
1.0
0.000 3.397 3.397
3.397 0.000 3.397
3.397 3.397 0.000
Tm Pa Ni Rh
1 1 1 1
Direct
0.000 0.000 0.000
0.500 0.500 0.500
0.250 0.250 0.250
0.750 0.750 0.750
```

Computed properties:
- ρ (g cm⁻³) = 11.90
- uncorrected energy (eV/atom) = -7.270

---

9.
Compound: UPaNiRh
Source: Alexandria via LeMat-Bulk
Functional: PBE
Structure: relaxed

The structure in POSCAR format:
```
UPaNiRh
1.0
0.000 3.262 3.262
3.262 0.000 3.262
3.262 3.262 0.000
U Pa Ni Rh
1 1 1 1
Direct
0.000 0.000 0.000
0.750 0.750 0.750
0.250 0.250 0.250
0.500 0.500 0.500
```

Computed properties:
- ρ (g cm⁻³) = 15.09
- uncorrected energy (eV/atom) = -8.925

---

10.
Compound: ZrPaNiRh
Source: Alexandria via LeMat-Bulk
Functional: PBE
Structure: relaxed

The structure in POSCAR format:
```
ZrPaNiRh
1.0
0.000 3.345 3.345
3.345 0.000 3.345
3.345 3.345 0.000
Zr Pa Ni Rh
1 1 1 1
Direct
0.000 0.000 0.000
0.500 0.500 0.500
0.250 0.250 0.250
0.750 0.750 0.750
```

Computed properties:
- ρ (g cm⁻³) = 10.73
- uncorrected energy (eV/atom) = -8.188
- relative energy among the computed polymorphs (meV per atom) = 182

---

11.
Compound: ZrPaNiRh
Source: Alexandria via LeMat-Bulk
Functional: PBE
Structure: relaxed

The structure in POSCAR format:
```
ZrPaNiRh
1.0
4.320 0.000 0.000
0.000 1.745 5.066
0.000 -1.745 5.066
Zr Pa Ni Rh
1 1 1 1
Direct
0.000 0.000 0.000
0.500 0.281 0.281
0.000 0.735 0.735
0.500 0.552 0.552
```

Computed properties:
- ρ (g cm⁻³) = 10.52
- uncorrected energy (eV/atom) = -8.370
- relative energy among the computed polymorphs (meV per atom) = 0

---

12.
Compound: PaNi2Ru
Source: Alexandria via LeMat-Bulk
Functional: PBE
Structure: relaxed

The structure in POSCAR format:
```
PaNi2Ru
1.0
3.883 0.000 0.000
0.000 3.883 0.000
0.000 0.000 4.009
Pa Ni Ru
1 2 1
Direct
0.000 0.000 0.000
0.000 0.500 0.500
0.500 0.000 0.500
0.500 0.500 0.000
```

Computed properties:
- ρ (g cm⁻³) = 12.35
- uncorrected energy (eV/atom) = -8.097
- relative energy among the computed polymorphs (meV per atom) = 0